Record 1
Here is an optimized crystal structure of LaEuPt2 from Alexandria. Energies are from PBE-GGA.

Lattice parameters (Å, degrees): 5.1247 5.1247 5.1247 60.00 60.00 60.00
Last column: magnetic moment on the atom in μB.
Fractional coordinates of all 4 atoms:
1 La 0.0000 0.0000 0.0000  0.06
2 Eu 0.5000 0.5000 0.5000  6.79
3 Pt 0.2500 0.2500 0.2500  -0.01
4 Pt 0.7500 0.7500 0.7500  -0.01

Properties
N(E_F): 8.49 states/eV/cell
crystal system: cubic

Record 2
Here is an optimized crystal structure of LaEuPt4 from Alexandria. Energies are from PBE-GGA.

Lattice parameters (Å, degrees): 5.5346 5.5346 5.5346 60.00 60.00 60.00
Last column: magnetic moment on the atom in μB.
Fractional coordinates of all 6 atoms:
1 Eu 0.0000 0.0000 0.0000  6.77
2 Pt 0.6253 0.6253 0.1242  -0.02
3 Pt 0.6253 0.1242 0.6253  -0.02
4 Pt 0.6253 0.6253 0.6253  -0.02
5 Pt 0.1242 0.6253 0.6253  -0.02
6 La 0.2500 0.2500 0.2500  0.05

Properties
N(E_F): 13.82 states/eV/cell
crystal system: cubic

Record 3
Here is an optimized crystal structure of LaEuPt2 from Alexandria. Energies are from PBE-GGA.

Lattice parameters (Å, degrees): 3.6369 3.6369 7.2425 90.00 90.00 90.00
Last column: magnetic moment on the atom in μB.
Fractional coordinates of all 4 atoms:
1 Eu 0.5000 0.5000 0.0000  -6.80
2 Pt 0.0000 0.0000 0.7384  0.01
3 Pt 0.0000 0.0000 0.2616  0.01
4 La 0.5000 0.5000 0.5000  -0.03

Properties
N(E_F): 11.62 states/eV/cell
crystal system: tetragonal

Record 4
Here is an optimized crystal structure of La3EuPt from Alexandria. Energies are from PBE-GGA.

Lattice parameters (Å, degrees): 5.8146 5.8146 5.8146 90.00 90.00 90.00
Last column: magnetic moment on the atom in μB.
Fractional coordinates of all 5 atoms:
1 Eu 0.5000 0.5000 0.5000  6.98
2 Pt 0.0000 0.0000 0.0000  0.03
3 La 0.0000 0.5000 0.0000  0.15
4 La 0.0000 0.0000 0.5000  0.15
5 La 0.5000 0.0000 0.0000  0.15

Properties
N(E_F): 9.44 states/eV/cell
crystal system: cubic

Record 5
Here is an optimized crystal structure of LaEu3Pt from Alexandria. Energies are from PBE-GGA.

Lattice parameters (Å, degrees): 5.7589 5.7589 5.7589 90.00 90.00 90.00
Last column: magnetic moment on the atom in μB.
Fractional coordinates of all 5 atoms:
1 Eu 0.0000 0.5000 0.0000  6.83
2 Eu 0.0000 0.0000 0.5000  6.83
3 Eu 0.5000 0.0000 0.0000  6.83
4 Pt 0.0000 0.0000 0.0000  -0.11
5 La 0.5000 0.5000 0.5000  0.17

Properties
N(E_F): 14.37 states/eV/cell
crystal system: cubic

Record 6
Here is an optimized crystal structure of LaEuPt from Alexandria. Energies are from PBE-GGA.

Lattice parameters (Å, degrees): 4.2737 4.2737 6.6933 90.00 90.00 120.00
Last column: magnetic moment on the atom in μB.
Fractional coordinates of all 3 atoms:
1 Eu 0.3333 0.6667 0.5758  6.87
2 Pt 0.6667 0.3333 0.3228  -0.02
3 La 0.0000 0.0000 0.1015  0.05

Properties
N(E_F): 10.74 states/eV/cell
crystal system: trigonal

Record 7
Here is an optimized crystal structure of LaEuPt2 from Alexandria. Energies are from PBE-GGA.

Lattice parameters (Å, degrees): 4.2277 4.2277 7.3691 73.33 73.33 60.00
Last column: magnetic moment on the atom in μB.
Fractional coordinates of all 4 atoms:
1 Eu 0.5000 0.5000 0.5000  6.74
2 Pt 0.2518 0.2518 0.2445  -0.03
3 Pt 0.7482 0.7482 0.7555  -0.03
4 La 0.0000 0.0000 0.0000  0.02

Properties
N(E_F): 12.85 states/eV/cell
crystal system: trigonal

Record 8
Here is an optimized crystal structure of LaEuPtRh from Alexandria. Energies are from PBE-GGA.

Lattice parameters (Å, degrees): 5.0778 5.0778 5.0778 60.00 60.00 60.00
Last column: magnetic moment on the atom in μB.
Fractional coordinates of all 4 atoms:
1 Eu 0.0000 0.0000 0.0000  6.72
2 Rh 0.2500 0.2500 0.2500  -0.16
3 Pt 0.7500 0.7500 0.7500  -0.06
4 La 0.5000 0.5000 0.5000  0.03

Properties
N(E_F): 12.47 states/eV/cell
crystal system: cubic

Computed electronic total energy, in the same sequence as the records: -7.8570; -7.6147; -7.8522; -6.5936; -8.6707; -7.8354; -7.8246; -7.9133 eV/atom.
Computed size of the total moment, in the same sequence as the records: 7.1; 7.0; 7.1; 8.6; 21.6; 7.3; 6.9; 6.8 μB per formula unit.